one | VASP calculation (PBE-GGA) on crystalline BaPmPb4 at its relaxed geometry. Values from VASP.

Structure (Quantum ESPRESSO input):
```
&SYSTEM
  ibrav = 0, nat = 12, ntyp = 3
/
ATOMIC_SPECIES
Ba 137.33 Ba.upf
Pm 145.00 Pm.upf
Pb 207.20 Pb.upf
ATOMIC_POSITIONS crystal
Ba 0.7233 0.2500 0.4467
Ba 0.2767 0.7500 0.5533
Pm 0.4345 0.2500 0.8689
Pm 0.5655 0.7500 0.1311
Pb 0.0000 0.0000 0.0000
Pb 0.0000 0.5000 0.0000
Pb 0.1424 0.9829 0.2848
Pb 0.8576 0.4829 0.7152
Pb 0.1424 0.5171 0.2848
Pb 0.8576 0.0171 0.7152
Pb 0.5765 0.2500 0.1530
Pb 0.4235 0.7500 0.8470
CELL_PARAMETERS angstrom
4.7458 0.0000 -0.9730
0.0000 6.9185 0.0000
0.1065 0.0000 12.5794
```

=====

two | VASP calculation (PBE-GGA) on crystalline BaPmPb4 at its relaxed geometry. Values from VASP.

Structure (Quantum ESPRESSO input):
```
&SYSTEM
  ibrav = 0, nat = 6, ntyp = 3
/
ATOMIC_SPECIES
Pb 207.20 Pb.upf
Ba 137.33 Ba.upf
Pm 145.00 Pm.upf
ATOMIC_POSITIONS crystal
Pb 0.6241 0.6241 0.1277
Pb 0.6241 0.1277 0.6241
Pb 0.6241 0.6241 0.6241
Pb 0.1277 0.6241 0.6241
Ba 0.0000 0.0000 0.0000
Pm 0.2500 0.2500 0.2500
CELL_PARAMETERS angstrom
-0.8005 3.4852 -5.5559
-5.8306 2.8113 -1.3252
-0.6406 6.5699 0.2848
```

=====

The most stable of them is one.

=====

one | VASP calculation (PBE-GGA) on crystalline BaPmPb at its relaxed geometry. Values from VASP.

Structure (Quantum ESPRESSO input):
```
&SYSTEM
  ibrav = 0, nat = 3, ntyp = 3
/
ATOMIC_SPECIES
Pb 207.20 Pb.upf
Ba 137.33 Ba.upf
Pm 145.00 Pm.upf
ATOMIC_POSITIONS crystal
Pb 0.1675 0.0000 0.0000
Ba 0.6664 0.3333 0.6667
Pm 0.1660 0.6667 0.3333
CELL_PARAMETERS angstrom
4.8517 0.0000 0.0000
0.0000 5.4165 0.0000
0.0000 -2.7082 4.6908
```

=====

two | VASP calculation (PBE-GGA) on crystalline BaPmPb at its relaxed geometry. Values from VASP.

Structure (Quantum ESPRESSO input):
```
&SYSTEM
  ibrav = 0, nat = 3, ntyp = 3
/
ATOMIC_SPECIES
Pb 207.20 Pb.upf
Ba 137.33 Ba.upf
Pm 145.00 Pm.upf
ATOMIC_POSITIONS crystal
Pb 0.2500 0.2500 0.2500
Ba 0.5000 0.5000 0.5000
Pm 0.0000 0.0000 0.0000
CELL_PARAMETERS angstrom
-3.1204 2.2130 4.1651
1.8308 -0.2520 5.3448
1.7170 4.7053 2.6256
```

=====

The most stable of them is one.

=====

one | VASP calculation (PBE-GGA) on crystalline BaPmPb at its relaxed geometry. Values from VASP.

Structure (Quantum ESPRESSO input):
```
&SYSTEM
  ibrav = 0, nat = 6, ntyp = 3
/
ATOMIC_SPECIES
Pb 207.20 Pb.upf
Pm 145.00 Pm.upf
Ba 137.33 Ba.upf
ATOMIC_POSITIONS crystal
Pb 0.0000 0.5000 0.6807
Pb 0.5000 0.0000 0.3193
Pm 0.0000 0.5000 0.4205
Pm 0.5000 0.0000 0.5795
Ba 0.5000 0.0000 0.8524
Ba 0.0000 0.5000 0.1476
CELL_PARAMETERS angstrom
4.3026 0.0000 0.0000
0.0000 4.3026 0.0000
0.0000 0.0000 13.0264
```

=====

two | VASP calculation (PBE-GGA) on crystalline BaPmPb at its relaxed geometry. Values from VASP.

Structure (Quantum ESPRESSO input):
```
&SYSTEM
  ibrav = 0, nat = 6, ntyp = 3
/
ATOMIC_SPECIES
Ba 137.33 Ba.upf
Pm 145.00 Pm.upf
Pb 207.20 Pb.upf
ATOMIC_POSITIONS crystal
Ba 0.8136 0.8664 0.5651
Ba 0.3136 0.3665 0.2741
Pm 0.8136 0.3665 0.9196
Pm 0.3136 0.8665 0.9196
Pb 0.8136 0.8665 0.1560
Pb 0.3136 0.3664 0.6832
CELL_PARAMETERS angstrom
5.1415 -0.2482 -0.0385
0.2474 5.1413 -0.0392
0.0700 0.0649 9.0477
```

=====

The most stable of them is two.

=====

one | VASP calculation (PBE-GGA) on crystalline BaPm2Pb at its relaxed geometry. Values from VASP.

Structure (Quantum ESPRESSO input):
```
&SYSTEM
  ibrav = 0, nat = 4, ntyp = 3
/
ATOMIC_SPECIES
Pb 207.20 Pb.upf
Ba 137.33 Ba.upf
Pm 145.00 Pm.upf
ATOMIC_POSITIONS crystal
Pb 0.5000 0.0000 0.0000
Ba 0.5000 0.5000 0.5000
Pm 0.0000 0.0000 0.5000
Pm 0.0000 0.5000 0.0000
CELL_PARAMETERS angstrom
-1.8738 1.8019 4.3069
-2.5400 -4.4878 0.7725
4.1188 -1.8868 2.5813
```

=====

two | VASP calculation (PBE-GGA) on crystalline BaPm2Pb at its relaxed geometry. Values from VASP.

Structure (Quantum ESPRESSO input):
```
&SYSTEM
  ibrav = 0, nat = 4, ntyp = 3
/
ATOMIC_SPECIES
Pb 207.20 Pb.upf
Ba 137.33 Ba.upf
Pm 145.00 Pm.upf
ATOMIC_POSITIONS crystal
Pb 0.5000 0.5000 0.5000
Ba 0.0000 0.0000 0.0000
Pm 0.0970 0.0970 0.7090
Pm 0.9030 0.9030 0.2910
CELL_PARAMETERS angstrom
-3.4379 -1.0235 0.9537
-0.8493 -0.5493 3.5711
-4.6957 11.4394 2.5716
```

=====

The most stable of them is one.